Entry 1:
Compound: CdOsCl2
Source: the Alexandria database
Functional: PBE
Structure: relaxed

Calculated values
* E above lowest polymorph: 229 meV/atom
* density: 7.31 g/cm3
* space-group type: Cmm2
* calculated volume: 21.21 Å³/atom
* total moment: 1.0 μB per formula unit
* VASP energy: -29.48 eV for the cell shown

Unit cell a=3.224 b=5.704 c=9.224 alpha=90.00 beta=90.00 gamma=90.00
Fractional coordinates of all 8 atoms:
Cd1 0.000 0.000 0.000
Cd2 0.500 0.500 0.000
Os1 0.000 0.500 0.752
Os2 0.500 0.000 0.752
Cl1 0.000 0.000 0.569
Cl2 0.000 0.500 0.210
Cl3 0.500 0.000 0.210
Cl4 0.500 0.500 0.569

---

Entry 2:
Compound: PmNd2Co2
Source: the Alexandria database
Functional: PBE
Structure: relaxed

Calculated values
* E above lowest polymorph: 74 meV/atom
* ΔH_f (0 K): 49 meV/atom
* density: 7.48 g/cm3
* space-group type: C2/m
* calculated volume: 24.47 Å³/atom
* total moment: 0.0 μB per formula unit
* VASP energy: -56.50 eV for the cell shown

Unit cell a=11.519 b=3.810 c=5.782 alpha=90.00 beta=105.40 gamma=90.00
Fractional coordinates of all 10 atoms:
Pm1 0.000 0.000 0.000
Pm2 0.500 0.500 0.000
Nd1 0.147 0.500 0.586
Nd2 0.353 0.000 0.414
Nd3 0.647 0.000 0.586
Nd4 0.853 0.500 0.414
Co1 0.225 0.500 0.099
Co2 0.275 0.000 0.901
Co3 0.725 0.000 0.099
Co4 0.775 0.500 0.901

---

Entry 3:
Compound: MnPd6S
Source: the Alexandria database
Functional: PBE
Structure: relaxed

Calculated values
* density: 8.89 g/cm3
* space-group type: C2/m
* calculated volume: 16.94 Å³/atom
* total moment: 4.3 μB per formula unit
* VASP energy: -88.68 eV for the cell shown

Unit cell a=5.995 b=7.623 c=6.064 alpha=90.00 beta=102.09 gamma=90.00
Fractional coordinates of all 16 atoms:
Mn1 0.000 0.000 0.000
Mn2 0.500 0.500 0.000
Pd1 0.109 0.318 0.815
Pd2 0.109 0.682 0.815
Pd3 0.186 0.000 0.648
Pd4 0.314 0.500 0.352
Pd5 0.391 0.182 0.185
Pd6 0.391 0.818 0.185
Pd7 0.609 0.182 0.815
Pd8 0.609 0.818 0.815
Pd9 0.686 0.500 0.648
Pd10 0.814 0.000 0.352
Pd11 0.891 0.318 0.185
Pd12 0.891 0.682 0.185
S1 0.000 0.500 0.500
S2 0.500 0.000 0.500

---

Entry 4:
Compound: CaZnAu2
Source: the Alexandria database
Functional: PBE
Structure: relaxed

Calculated values
* ΔH_f (0 K): -502 meV/atom
* density: 10.25 g/cm3
* space-group type: Fm-3m
* calculated volume: 20.22 Å³/atom
* total moment: 0.0 μB per formula unit
* VASP energy: -47.35 eV for the cell shown

Unit cell a=6.865 b=6.865 c=6.865 alpha=90.00 beta=90.00 gamma=90.00
Fractional coordinates of all 16 atoms:
Ca1 0.000 0.000 0.000
Ca2 0.000 0.500 0.500
Ca3 0.500 0.000 0.500
Ca4 0.500 0.500 0.000
Zn1 0.000 0.000 0.500
Zn2 0.000 0.500 0.000
Zn3 0.500 0.000 0.000
Zn4 0.500 0.500 0.500
Au1 0.250 0.250 0.250
Au2 0.250 0.250 0.750
Au3 0.250 0.750 0.250
Au4 0.250 0.750 0.750
Au5 0.750 0.250 0.250
Au6 0.750 0.250 0.750
Au7 0.750 0.750 0.250
Au8 0.750 0.750 0.750

---

Entry 5:
Compound: Li4PmMg5
Source: the Alexandria database
Functional: PBE
Structure: relaxed

Calculated values
* ΔH_f (0 K): -55 meV/atom
* density: 2.21 g/cm3
* space-group type: P4/mmm
* calculated volume: 22.10 Å³/atom
* total moment: 0.0 μB per formula unit
* VASP energy: -20.92 eV for the cell shown

Unit cell a=3.499 b=3.499 c=18.054 alpha=90.00 beta=90.00 gamma=90.00
Fractional coordinates of all 10 atoms:
Li1 0.000 0.000 0.091
Li2 0.000 0.000 0.278
Li3 0.000 0.000 0.722
Li4 0.000 0.000 0.909
Pm1 0.000 0.000 0.500
Mg1 0.500 0.500 0.000
Mg2 0.500 0.500 0.183
Mg3 0.500 0.500 0.370
Mg4 0.500 0.500 0.630
Mg5 0.500 0.500 0.817

---

Entry 6:
Compound: Pm7Si2Te2
Source: the Alexandria database
Functional: PBE
Structure: relaxed

Calculated values
* density: 6.34 g/cm3
* space-group type: Cmmm
* calculated volume: 31.57 Å³/atom
* total moment: 0.0 μB per formula unit
* VASP energy: -56.76 eV for the cell shown

Unit cell a=7.171 b=7.171 c=6.857 alpha=90.00 beta=90.00 gamma=99.96
Fractional coordinates of all 11 atoms:
Pm1 0.000 0.000 0.000
Pm2 0.000 0.500 0.256
Pm3 0.000 0.500 0.744
Pm4 0.500 0.000 0.256
Pm5 0.500 0.000 0.744
Pm6 0.500 0.500 0.242
Pm7 0.500 0.500 0.758
Si1 0.272 0.728 0.000
Si2 0.728 0.272 0.000
Te1 0.202 0.202 0.500
Te2 0.798 0.798 0.500

---

Entry 7:
Compound: KHfZnN2
Source: the Alexandria database
Functional: PBE
Structure: relaxed

Calculated values
* density: 6.64 g/cm3
* space-group type: P4/mmm
* calculated volume: 15.54 Å³/atom
* total moment: 0.9 μB per formula unit
* VASP energy: -19.90 eV for the cell shown

Unit cell a=4.188 b=4.188 c=4.431 alpha=90.00 beta=90.00 gamma=90.00
Fractional coordinates of all 5 atoms:
K1 0.000 0.000 0.000
Hf1 0.500 0.500 0.000
Zn1 0.000 0.000 0.500
N1 0.000 0.500 0.500
N2 0.500 0.000 0.500

---

Entry 8:
Compound: Pr14HoAl
Source: the Alexandria database
Functional: PBE
Structure: relaxed

Calculated values
* ΔH_f (0 K): -9 meV/atom
* density: 6.55 g/cm3
* space-group type: Amm2
* calculated volume: 34.31 Å³/atom
* total moment: 0.0 μB per formula unit
* VASP energy: -75.37 eV for the cell shown

Unit cell a=10.321 b=7.293 c=7.293 alpha=89.97 beta=90.00 gamma=90.00
Fractional coordinates of all 16 atoms:
Pr1 0.000 0.000 0.000
Pr2 0.000 0.000 0.500
Pr3 0.000 0.499 0.499
Pr4 0.000 0.500 0.000
Pr5 0.258 0.755 0.755
Pr6 0.259 0.245 0.245
Pr7 0.259 0.245 0.755
Pr8 0.259 0.755 0.245
Pr9 0.500 0.000 0.501
Pr10 0.500 0.501 0.000
Pr11 0.741 0.245 0.245
Pr12 0.741 0.245 0.755
Pr13 0.741 0.755 0.245
Pr14 0.742 0.755 0.755
Ho1 0.500 0.500 0.500
Al1 0.500 0.000 0.000

---

Entry 9:
Compound: VS2N3Cl2
Source: the Alexandria database
Functional: PBE
Structure: relaxed

Calculated values
* density: 2.15 g/cm3
* space-group type: P-1
* calculated volume: 21.97 Å³/atom
* total moment: 0.0 μB per formula unit
* VASP energy: -96.17 eV for the cell shown

Unit cell a=5.782 b=7.893 c=8.069 alpha=89.08 beta=81.40 gamma=74.92
Fractional coordinates of all 16 atoms:
V1 0.246 0.004 0.364
V2 0.754 0.996 0.636
S1 0.211 0.701 0.689
S2 0.234 0.286 0.091
S3 0.766 0.714 0.909
S4 0.789 0.299 0.311
N1 0.048 0.634 0.838
N2 0.070 0.871 0.601
N3 0.345 0.122 0.196
N4 0.655 0.878 0.804
N5 0.930 0.129 0.399
N6 0.952 0.366 0.162
Cl1 0.241 0.762 0.221
Cl2 0.353 0.181 0.570
Cl3 0.647 0.819 0.430
Cl4 0.759 0.238 0.779

---

Entry 10:
Compound: TmMgCoPt
Source: the Alexandria database
Functional: PBE
Structure: relaxed

Calculated values
* ΔH_f (0 K): -559 meV/atom
* density: 10.76 g/cm3
* space-group type: F-43m
* calculated volume: 17.25 Å³/atom
* total moment: 0.5 μB per formula unit
* VASP energy: -85.79 eV for the cell shown

Unit cell a=6.511 b=6.511 c=6.511 alpha=90.00 beta=90.00 gamma=90.00
Fractional coordinates of all 16 atoms:
Tm1 0.000 0.000 0.000
Tm2 0.000 0.500 0.500
Tm3 0.500 0.000 0.500
Tm4 0.500 0.500 0.000
Mg1 0.000 0.000 0.500
Mg2 0.000 0.500 0.000
Mg3 0.500 0.000 0.000
Mg4 0.500 0.500 0.500
Co1 0.250 0.250 0.750
Co2 0.250 0.750 0.250
Co3 0.750 0.250 0.250
Co4 0.750 0.750 0.750
Pt1 0.250 0.250 0.250
Pt2 0.250 0.750 0.750
Pt3 0.750 0.250 0.750
Pt4 0.750 0.750 0.250

---

Entry 11:
Compound: CsMgH2
Source: the Alexandria database
Functional: PBE
Structure: relaxed

Calculated values
* E above lowest polymorph: 17 meV/atom
* density: 2.86 g/cm3
* space-group type: Pmm2
* calculated volume: 23.09 Å³/atom
* total moment: 0.3 μB per formula unit
* VASP energy: -9.11 eV for the cell shown

Unit cell a=3.940 b=4.114 c=5.697 alpha=90.00 beta=90.00 gamma=90.00
Fractional coordinates of all 4 atoms:
Cs1 0.000 0.000 0.000
Mg1 0.500 0.500 0.485
H1 0.000 0.500 0.572
H2 0.500 0.500 0.160

---

Entry 12:
Compound: Na2PtPb8
Source: the Alexandria database
Functional: PBE
Structure: relaxed

Calculated values
* ΔH_f (0 K): -123 meV/atom
* density: 9.90 g/cm3
* space-group type: P4/mmm
* calculated volume: 28.94 Å³/atom
* total moment: 0.0 μB per formula unit
* VASP energy: -39.70 eV for the cell shown

Unit cell a=4.908 b=4.908 c=13.214 alpha=90.00 beta=90.00 gamma=90.00
Fractional coordinates of all 11 atoms:
Na1 0.000 0.000 0.188
Na2 0.000 0.000 0.812
Pt1 0.000 0.000 0.500
Pb1 0.000 0.500 0.000
Pb2 0.000 0.500 0.374
Pb3 0.000 0.500 0.626
Pb4 0.500 0.000 0.000
Pb5 0.500 0.000 0.374
Pb6 0.500 0.000 0.626
Pb7 0.500 0.500 0.188
Pb8 0.500 0.500 0.812

---

Entry 13:
Compound: U4RuRh12
Source: the Alexandria database
Functional: PBE
Structure: relaxed

Calculated values
* ΔH_f (0 K): -386 meV/atom
* density: 13.32 g/cm3
* space-group type: Im-3m
* calculated volume: 16.78 Å³/atom
* total moment: 1.9 μB per formula unit
* VASP energy: -149.20 eV for the cell shown

Unit cell a=7.182 b=7.182 c=7.182 alpha=109.47 beta=109.47 gamma=109.47
Fractional coordinates of all 17 atoms:
U1 0.000 0.000 0.500
U2 0.000 0.500 0.000
U3 0.500 0.000 0.000
U4 0.500 0.500 0.500
Ru1 0.000 0.000 0.000
Rh1 0.000 0.294 0.294
Rh2 0.000 0.706 0.706
Rh3 0.250 0.500 0.750
Rh4 0.250 0.750 0.500
Rh5 0.294 0.000 0.294
Rh6 0.294 0.294 0.000
Rh7 0.500 0.250 0.750
Rh8 0.500 0.750 0.250
Rh9 0.706 0.000 0.706
Rh10 0.706 0.706 0.000
Rh11 0.750 0.250 0.500
Rh12 0.750 0.500 0.250